(1)
! PBE Mg2BeCl, optimized geometry; values from VASP
&SYSTEM
  ibrav = 0, nat = 4, ntyp = 3
/
ATOMIC_SPECIES
Be 9.01 Be.upf
Mg 24.30 Mg.upf
Cl 35.45 Cl.upf
CELL_PARAMETERS angstrom
3.110 0.000 0.000
0.000 3.241 -0.022
0.000 0.052 7.404
ATOMIC_POSITIONS angstrom
Be 1.555 0.823 1.845
Mg 0.000 2.433 0.255
Mg 0.000 2.454 3.413
Cl 1.555 2.469 5.536
! **Space-group type**: Pmmm, No. 47
! **ΔE to the lowest computed polymorph**: 13.8 meV per atom
! **Magnetization**: 0.00 μB/f.u.
! **Energy relative to the elements, uncorrected**: -307 meV per atom

(2)
! PBE MgBe2Cl, optimized geometry; values from VASP
&SYSTEM
  ibrav = 0, nat = 4, ntyp = 3
/
ATOMIC_SPECIES
Be 9.01 Be.upf
Mg 24.30 Mg.upf
Cl 35.45 Cl.upf
CELL_PARAMETERS angstrom
6.149 0.000 0.000
0.000 3.366 0.000
0.000 0.000 3.366
ATOMIC_POSITIONS angstrom
Be 0.000 0.000 0.000
Be 0.000 1.683 1.683
Mg 3.075 0.000 1.683
Cl 3.075 1.683 0.000
! **Space-group type**: P4/mmm, No. 123
! **ΔE to the lowest computed polymorph**: 411.8 meV per atom
! **Magnetization**: 0.00 μB/f.u.
! **Energy relative to the elements, uncorrected**: 403 meV per atom

(3)
! PBE MgBeCl2, optimized geometry; values from VASP
&SYSTEM
  ibrav = 0, nat = 4, ntyp = 3
/
ATOMIC_SPECIES
Be 9.01 Be.upf
Mg 24.30 Mg.upf
Cl 35.45 Cl.upf
CELL_PARAMETERS angstrom
-0.204 -1.276 2.867
3.039 -0.796 -0.137
2.538 8.972 4.173
ATOMIC_POSITIONS angstrom
Be 3.321 5.693 4.495
Mg 2.052 1.207 2.408
Cl 0.259 0.917 0.426
Cl 1.010 3.569 1.660
! **Space-group type**: P4/mmm, No. 123
! **ΔE to the lowest computed polymorph**: 547.1 meV per atom
! **Magnetization**: 0.00 μB/f.u.
! **Energy relative to the elements, uncorrected**: -296 meV per atom

(4)
! PBE MgBe2Cl, optimized geometry; values from VASP
&SYSTEM
  ibrav = 0, nat = 4, ntyp = 3
/
ATOMIC_SPECIES
Be 9.01 Be.upf
Mg 24.30 Mg.upf
Cl 35.45 Cl.upf
CELL_PARAMETERS angstrom
3.165 0.000 0.000
0.000 2.969 0.033
0.000 0.377 7.954
ATOMIC_POSITIONS angstrom
Be 0.000 2.537 0.676
Be 1.582 1.054 0.469
Mg 1.582 2.933 6.134
Cl 0.000 1.464 4.734
! **Space-group type**: Pm, No. 6
! **ΔE to the lowest computed polymorph**: 0.0 meV per atom
! **Magnetization**: 0.00 μB/f.u.
! **Energy relative to the elements, uncorrected**: -9 meV per atom